5
Lattice="4.1674 0.0000 0.0000 0.0000 4.1674 0.0000 0.0000 0.0000 4.5264" Properties=species:S:1:pos:R:3 comment="NaHgNF2 PBE optimized geometry" formation_energy_uncorrected_ev_per_atom=-0.176 magnetic_moment_mub_per_fu=2.1 relative_energy_mev_per_atom=303 pbc="T T T"
Na 0.0000 0.0000 0.0000
Hg 2.0837 2.0837 2.2632
N 0.0000 0.0000 2.2632
F 0.0000 2.0837 0.0000
F 2.0837 0.0000 0.0000